No. 1
LaBeFe | PBE | optimized geometry Values from VASP.

Geometry as Quantum ESPRESSO input:
```
&SYSTEM
  ibrav = 0, nat = 3, ntyp = 3
/
ATOMIC_SPECIES
Be 9.01 Be.upf
Fe 55.84 Fe.upf
La 138.91 La.upf
ATOMIC_POSITIONS crystal
Be 0.000 0.000 0.167
Fe 0.667 0.333 0.167
La 0.333 0.667 0.667
CELL_PARAMETERS angstrom
-1.805 -2.754 2.166
3.178 1.852 1.416
-2.443 2.915 1.670
```

Energy of formation from the pure elements in eV per atom: 0.1937
E above lowest polymorph in meV per atom: 0
Volume in A^3/atom: 18.6

No. 2
LaBe2Fe | PBE | optimized geometry Values from VASP.

Geometry as Quantum ESPRESSO input:
```
&SYSTEM
  ibrav = 0, nat = 8, ntyp = 3
/
ATOMIC_SPECIES
Be 9.01 Be.upf
Fe 55.84 Fe.upf
La 138.91 La.upf
ATOMIC_POSITIONS crystal
Be 0.375 0.125 0.250
Be 0.375 0.625 0.250
Be 0.375 0.625 0.750
Be 0.875 0.625 0.750
Fe 0.500 0.500 0.000
Fe 0.250 0.750 0.500
La 0.000 0.000 0.000
La 0.750 0.250 0.500
CELL_PARAMETERS angstrom
-0.720 2.806 -3.014
-3.374 -2.157 -1.202
-6.420 4.446 2.775
```

Energy of formation from the pure elements in eV per atom: 0.2370
E above lowest polymorph in meV per atom: 222
Volume in A^3/atom: 16.9

No. 3
LaBe2Fe | PBE | optimized geometry Values from VASP.

Geometry as Quantum ESPRESSO input:
```
&SYSTEM
  ibrav = 0, nat = 4, ntyp = 3
/
ATOMIC_SPECIES
Be 9.01 Be.upf
Fe 55.84 Fe.upf
La 138.91 La.upf
ATOMIC_POSITIONS crystal
Be 0.948 0.948 0.215
Be 0.276 0.276 0.239
Fe 0.597 0.597 0.299
La 0.678 0.678 0.747
CELL_PARAMETERS angstrom
-1.692 -3.427 -0.557
-0.044 -1.558 -3.534
3.965 -3.209 0.180
```

Energy of formation from the pure elements in eV per atom: 0.0147
E above lowest polymorph in meV per atom: 0
Volume in A^3/atom: 16.0

No. 4
LaBeFe | PBE | optimized geometry Values from VASP.

Geometry as Quantum ESPRESSO input:
```
&SYSTEM
  ibrav = 0, nat = 3, ntyp = 3
/
ATOMIC_SPECIES
Be 9.01 Be.upf
Fe 55.84 Fe.upf
La 138.91 La.upf
ATOMIC_POSITIONS crystal
Be 0.000 0.000 0.000
Fe 0.500 0.500 0.500
La 0.250 0.250 0.250
CELL_PARAMETERS angstrom
-1.588 4.191 1.324
-4.600 0.785 0.245
-2.065 0.508 4.161
```

Energy of formation from the pure elements in eV per atom: 1.2581
E above lowest polymorph in meV per atom: 1064
Volume in A^3/atom: 24.1